BaLiFe2Pb, relaxed, DFT GGA-PBE; ρ = 6.49 Mg/m³; E_tot = -3.130 eV/atom; crystal system = tetragonal; volume = 23.69 A^3/atom; DFT formation energy = 1.76 eV per atom; density of states at the Fermi level = 12.7 states/eV/f.u.
1.0
4.857 0.000 0.000
0.000 4.857 0.000
0.000 0.000 5.021
Ba Li Fe Pb
1 1 2 1
Direct
0.000 0.000 0.000
0.000 0.000 0.500
0.000 0.500 0.000
0.500 0.000 0.000
0.500 0.500 0.500